VASP calculation (PBE-GGA) on crystalline Cs2MnHBr6 at its relaxed geometry.

Summary:
energy: -3.27 eV/atom
DOS at the Fermi energy: 0.00 states/eV/f.u.

Cell: 7.7294 7.7294 7.7294 Å, 121.91 121.91 86.73°
Sites, in units of the cell vectors:
Cs  0.2500  0.7500  0.5000
Cs  0.7500  0.2500  0.5000
Mn  0.0000  0.0000  0.0000
H  0.5000  0.5000  0.0000
Br  0.2205  0.2205  0.0000
Br  0.2359  0.2359  0.4718
Br  0.2359  0.7641  0.0000
Br  0.7641  0.2359  0.0000
Br  0.7641  0.7641  0.5282
Br  0.7795  0.7795  0.0000